VASP calculation (GGA-PBEsol) on an optimized crystal structure of Rb3SbO.

## Properties
As for the crystal system: cubic. The value obtained for the density is 3.8 Mg/m³. The calculation puts the uncorrected formation energy at -0.484 eV/atom.

Lattice parameters (Å, degrees): 5.556 5.556 5.556 90.00 90.00 90.00
Sites, in units of the cell vectors:
Rb (0.000, 0.000, 0.500)
Rb (0.000, 0.500, 0.000)
Rb (0.500, 0.000, 0.000)
Sb (0.500, 0.500, 0.500)
O (0.000, 0.000, 0.000)